Co2CuPt after structural relaxation, computed with GGA-PBEsol.

```
Co2CuPt
1.0
2.556 -0.005 0.000
-1.176 2.269 0.000
0.000 0.000 8.492
Co Cu Pt
2 1 1
Cartesian
0.000 0.000 8.340
0.690 1.132 6.426
0.000 0.000 4.362
0.690 1.132 2.103
```

Results
calculated formation energy = 0.150 eV per atom
space group = Cmm2 (35)

---

CoCu2Re after structural relaxation, computed with GGA-PBEsol.

```
CoCu2Re
1.0
2.511 0.164 0.000
-0.608 4.360 0.000
-0.952 -2.262 4.365
Co Cu Re
1 2 1
Cartesian
-0.304 2.180 0.000
-0.476 -1.131 2.182
0.476 1.131 2.182
1.256 0.082 0.000
```

Results
calculated formation energy = 0.341 eV per atom
space group = C2/m (12)

---

CoCu2Re after structural relaxation, computed with GGA-PBEsol.

```
CoCu2Re
1.0
-0.894 0.259 -2.309
2.853 -3.317 -1.476
-4.103 -1.579 1.412
Co Cu Re
1 2 1
Cartesian
-1.072 -2.319 -1.187
1.427 -1.659 -0.738
-2.052 -0.790 0.706
-0.447 0.129 -1.155
```

Results
calculated formation energy = 0.338 eV per atom
space group = Cmmm (65)

---

CoCu2Re after structural relaxation, computed with GGA-PBEsol.

```
CoCu2Re
1.0
4.054 0.000 0.000
2.027 3.511 0.000
2.027 1.170 3.310
Co Cu Re
1 2 1
Cartesian
4.054 2.341 1.655
0.000 0.000 0.000
6.081 3.511 2.483
2.027 1.170 0.828
```

Results
calculated formation energy = 0.312 eV per atom
space group = F-43m (216)